# 1
A plane-wave DFT calculation with PBE was carried out for crystalline SrEuCdSb at its relaxed geometry.

Properties
As for the total magnetization: 1.883 μB per atom. As for the mass density: 6.16 g cm⁻³. The value obtained for the formation energy (no corrections) is -0.639 eV/atom. As for the crystal system: cubic.

Cell: 7.994 7.994 7.994 Å, 90.00 90.00 90.00°
Space group F-43m (No. 216)
Symmetry-distinct sites (fractional):
Sr (0.000, 0.000, 0.000)
Eu (0.000, 0.000, 0.500)
Cd (0.250, 0.250, 0.750)
Sb (0.250, 0.250, 0.250)



# 2
A plane-wave DFT calculation with PBE was carried out for crystalline EuScCd4 at its relaxed geometry.

Properties
The formation energy is -0.20 eV/atom. As for the total magnetization: 1.164 μB per atom. As for the mass density: 7.34 g cm⁻³. As for the crystal system: cubic.

Cell: 8.362 8.362 8.362 Å, 90.00 90.00 90.00°
Space group F-43m (No. 216)
Symmetry-distinct sites (fractional):
Eu (0.000, 0.000, 0.000)
Sc (0.250, 0.250, 0.750)
Cd (0.125, 0.125, 0.375)



# 3
A plane-wave DFT calculation with PBE was carried out for crystalline EuSc2Cd at its relaxed geometry.

Properties
The formation energy is 0.16 eV/atom. As for the total magnetization: 2.003 μB per atom. As for the mass density: 5.39 g cm⁻³. The energy above the most stable polymorph in this dataset is 69 kJ/mol of formula units. As for the crystal system: trigonal.

Cell: 3.3320 3.3320 34.0297 Å, 90.00 90.00 120.00°
Space group R-3m (No. 166, hexagonal axes)
Symmetry-distinct sites (fractional):
Eu (0.0000, 0.0000, 0.0000)
Sc (0.0000, 0.0000, 0.0959)
Cd (0.0000, 0.0000, 0.5000)



# 4
A plane-wave DFT calculation with PBE was carried out for crystalline Eu2ScCd at its relaxed geometry.

Properties
The formation energy is 0.03 eV/atom. As for the total magnetization: 3.641 μB per atom. As for the mass density: 6.25 g cm⁻³. The energy above the most stable polymorph in this dataset is 25 kJ/mol of formula units. As for the crystal system: cubic.

Cell: 7.884 7.884 7.884 Å, 90.00 90.00 90.00°
Space group Fm-3m (No. 225)
Symmetry-distinct sites (fractional):
Eu (0.250, 0.250, 0.250)
Sc (0.000, 0.000, 0.000)
Cd (0.000, 0.000, 0.500)